1.
DFT (PBE-GGA) results for a relaxed EuPaSnHg crystal.

Geometry as POSCAR:
```
EuPaSnHg
1.0
0.000 3.822 3.822
3.822 0.000 3.822
3.822 3.822 0.000
Eu Pa Sn Hg
1 1 1 1
Cartesian
0.000 0.000 0.000 Eu
3.822 3.822 3.822 Pa
1.911 1.911 1.911 Sn
5.733 5.733 5.733 Hg
```

Properties
Crystal system: cubic
Space-group type: F-43m



2.
DFT (PBE-GGA) results for a relaxed LaTbPrCd crystal.

Geometry as POSCAR:
```
LaTbPrCd
1.0
3.738 0.000 0.000
0.000 3.738 0.000
0.000 0.000 9.139
La Tb Pr Cd
1 1 1 1
Cartesian
0.000 0.000 0.000 La
0.000 0.000 5.088 Tb
1.869 1.869 2.623 Pr
1.869 1.869 6.950 Cd
```

Properties
Crystal system: tetragonal
Space-group type: P4mm



Number 1: DFT total energy -6.1763 eV per atom. Number 2: DFT total energy -3.9663 eV per atom.